No. 1
A plane-wave DFT calculation with PBE was carried out for LaCd8Au6 after structural relaxation.

As for the total energy: -2.377 eV/atom.

It has space group R-3 (No. 148, hexagonal axes), with a = 8.3760 Å, b = 8.3760 Å, c = 17.2070 Å, α = 90.00°, β = 90.00° and γ = 120.00°. The inequivalent atoms are La at (0.0000, 0.0000, 0.0000), Cd at (0.0000, 0.0000, 0.3371), Cd at (0.0015, 0.6633, 0.4528) and Au at (0.0009, 0.6534, 0.9477).

---

No. 2
A plane-wave DFT calculation with PBE was carried out for MgVMoS4 after structural relaxation.

Its raw formation energy is -0.888 eV per atom. As for the total energy: -6.325 eV/atom.

It has space group Cm (No. 8), with a = 12.318 Å, b = 6.957 Å, c = 7.231 Å, α = 90.00°, β = 124.50° and γ = 90.00°. The inequivalent atoms are Mg at (0.000, 0.000, 0.000), Mg at (0.240, 0.000, 0.721), V at (0.064, 0.500, 0.694), V at (0.130, 0.500, 0.302), Mo at (0.341, 0.293, 0.304), S at (0.084, 0.251, 0.494), S at (0.106, 0.290, 0.021), S at (0.312, 0.500, 0.010), S at (0.335, 0.000, 0.503), S at (0.353, 0.500, 0.576) and S at (0.375, 0.000, 0.116).

---

No. 3
A plane-wave DFT calculation with PBE was carried out for Al2ZnGa after structural relaxation.

As for the total energy: -2.921 eV/atom.

It has space group P4/mmm (No. 123), with a = 2.823 Å, b = 2.823 Å, c = 8.390 Å, α = 90.00°, β = 90.00° and γ = 90.00°. The inequivalent atoms are Al at (0.000, 0.000, 0.236), Zn at (0.500, 0.500, 0.000) and Ga at (0.500, 0.500, 0.500).

---

No. 4
A plane-wave DFT calculation with PBE was carried out for LiCdGaHg after structural relaxation.

Its distance to the lowest polymorph of the same formula is 0 meV per atom. As for the total energy: -1.695 eV/atom.

It has space group I-4m2 (No. 119), with a = 4.512 Å, b = 4.512 Å, c = 7.796 Å, α = 90.00°, β = 90.00° and γ = 90.00°. The inequivalent atoms are Li at (0.000, 0.000, 0.000), Cd at (0.000, 0.500, 0.250), Ga at (0.000, 0.000, 0.500) and Hg at (0.000, 0.500, 0.750).

---

No. 5
A plane-wave DFT calculation with PBE was carried out for AlPt2Rh after structural relaxation.

As for the total energy: -6.308 eV/atom.

It has space group Pm (No. 6), with a = 2.788 Å, b = 3.689 Å, c = 5.777 Å, α = 90.00°, β = 90.13° and γ = 90.00°. The inequivalent atoms are Al at (0.000, 0.000, 0.000), Pt at (0.000, 0.000, 0.486), Pt at (0.500, 0.500, 0.760) and Rh at (0.501, 0.500, 0.231).

---

No. 6
A plane-wave DFT calculation with PBE was carried out for ZrNiW2 after structural relaxation.

Its distance to the lowest polymorph of the same formula is 46 meV per atom. As for the total energy: -9.977 eV/atom.

It has space group Cmm2 (No. 35), with a = 3.354 Å, b = 4.410 Å, c = 8.737 Å, α = 90.00°, β = 90.00° and γ = 90.00°. The inequivalent atoms are Zr at (0.000, 0.000, 0.000), Ni at (0.000, 0.500, 0.250), W at (0.000, 0.000, 0.465) and W at (0.000, 0.500, 0.719).

---

No. 7
A plane-wave DFT calculation with PBE was carried out for CrCuTc after structural relaxation.

Its distance to the lowest polymorph of the same formula is 45 meV per atom. As for the total energy: -7.815 eV/atom.

It has space group I4mm (No. 107), with a = 3.069 Å, b = 3.069 Å, c = 8.287 Å, α = 90.00°, β = 90.00° and γ = 90.00°. The inequivalent atoms are Cr at (0.000, 0.000, 0.000), Cu at (0.000, 0.000, 0.330) and Tc at (0.000, 0.000, 0.648).